{"formula": "Pm5Nd8Sn", "functional": "GGA-PBE", "state": "optimized geometry", "formation_energy_ev_per_atom": 0.127, "total_magnetization_mub_per_fu": 0.00, "e_tot_ha_per_atom": -0.1683, "crystal_system": "tetragonal", "lattice": [[8.1009, -0.0003, -2.8902], [-3.9924, 7.0636, -2.8549], [-0.1162, 0.0003, 8.6003]], "species": ["Nd", "Nd", "Nd", "Nd", "Nd", "Nd", "Nd", "Nd", "Pm", "Pm", "Pm", "Pm", "Pm", "Sn"], "frac_coords": [[0.7862, 0.2775, 0.3849], [0.1075, 0.7225, 0.5088], [0.1356, 0.7050, 0.0320], [0.4912, 0.5987, 0.2138], [0.6151, 0.4013, 0.8925], [0.3270, 0.2950, 0.4307], [0.5693, 0.8964, 0.8644], [0.9680, 0.1036, 0.6730], [0.7923, 0.6910, 0.6854], [0.8988, 0.8931, 0.2077], [0.3146, 0.1069, 0.0057], [0.9943, 0.3090, 0.1012], [0.5000, 0.0000, 0.5000], [0.2500, 0.5000, 0.7500]]}